(1)
Entry from Alexandria via LeMat-Bulk: an optimized crystal structure of La3Ho2Mg2 (PBE).

Computed properties:
Its calculated formation energy is 0.03 eV/atom. The total energy is -3.84 eV per atom. The space group is Cmmm (65).

Cell lengths 12.1537, 12.1537, 3.5189 Å; angles 90.00, 90.00, 154.38 degrees
Closest atoms and distances in Å follow each position.
Positions (direct):
La  0.0000  0.0000  0.0000  4 La 3.52-3.54, 8 Mg 3.62
La  0.1492  0.8508  0.0000  3 La 3.52-3.54, 6 Ho 3.55-3.72, 4 Mg 3.72
La  0.8508  0.1492  0.0000  3 La 3.52-3.54, 6 Ho 3.55-3.72, 4 Mg 3.72
Ho  0.2875  0.7125  0.5000  4 Ho 3.23-3.52, 1 Mg 3.37, 4 La 3.55
Ho  0.7125  0.2875  0.5000  4 Ho 3.23-3.52, 1 Mg 3.37, 4 La 3.55
Mg  0.4298  0.5702  0.5000  3 Mg 3.33-3.52, 1 Ho 3.37, 8 La 3.62-3.72
Mg  0.5702  0.4298  0.5000  3 Mg 3.33-3.52, 1 Ho 3.37, 8 La 3.62-3.72

---

(2)
Entry from Alexandria via LeMat-Bulk: an optimized crystal structure of Sr2PmS3 (PBE).

Computed properties:
The total energy is -5.48 eV per atom. The space group is Immm (71). As for the uncorrected formation energy: -2.0653 eV/atom.

Cell lengths 7.2640, 7.2640, 7.2640 Å; angles 146.69, 131.96, 59.71 degrees
Closest atoms and distances in Å follow each position.
Positions (direct):
Sr  0.1686  0.1686  0.0000  6 S 2.96-3.01
Sr  0.8314  0.8314  0.0000  6 S 2.96-3.01
Pm  0.5000  0.5000  0.0000  6 S 2.88-2.96
S  0.0000  0.5000  0.5000  2 Pm 2.96, 4 Sr 2.97
S  0.3417  0.8417  0.5000  2 Pm 2.88, 4 Sr 2.96-3.01
S  0.6583  0.1583  0.5000  2 Pm 2.88, 4 Sr 2.96-3.01